DFT (GGA-PBE) results for a geometry-optimized MnCu2AgCl6 structure.

Cell lengths 6.516, 8.320, 8.320 Å; angles 88.32, 83.05, 83.05 degrees
Last column: magnetic moment on the atom in μB.
Fractional positions:
Cl 0.358 0.230 0.020  0.00
Cl 0.642 0.770 0.980  0.00
Cl 0.588 0.148 0.627  -0.01
Cl 0.412 0.852 0.373  -0.01
Cl 0.629 0.456 0.283  -0.01
Cl 0.871 0.717 0.544  -0.01
Cl 0.088 0.627 0.148  -0.01
Cl 0.371 0.544 0.717  -0.01
Cl 0.858 0.020 0.230  0.00
Cl 0.912 0.373 0.852  -0.01
Cl 0.129 0.283 0.456  -0.01
Cl 0.142 0.980 0.770  0.00
Cu 0.702 0.587 0.762  -0.19
Cu 0.202 0.762 0.587  -0.19
Cu 0.298 0.413 0.238  -0.19
Cu 0.798 0.238 0.413  -0.19
Mn 0.750 0.734 0.266  4.10
Mn 0.250 0.266 0.734  4.10
Ag 0.750 0.080 0.920  -0.02
Ag 0.250 0.920 0.080  -0.02

Output
density of states at the Fermi level = 10.17 states/eV per cell

DFT (GGA-PBE) results for a geometry-optimized BaCdBi2 structure.

Cell lengths 4.767, 4.828, 24.377 Å; angles 90.00, 90.00, 90.00 degrees
Fractional positions:
Ba 0.750 0.228 0.883
Ba 0.250 0.772 0.117
Ba 0.750 0.272 0.383
Ba 0.250 0.728 0.617
Cd 0.750 0.724 0.750
Cd 0.250 0.224 0.750
Cd 0.250 0.276 0.250
Cd 0.750 0.776 0.250
Bi 0.750 0.225 0.671
Bi 0.250 0.286 0.002
Bi 0.750 0.786 0.498
Bi 0.750 0.714 0.998
Bi 0.250 0.725 0.829
Bi 0.250 0.214 0.502
Bi 0.250 0.775 0.329
Bi 0.750 0.275 0.171

Output
density of states at the Fermi level = 2.34 states/eV per cell

DFT (GGA-PBE) results for a geometry-optimized Fe2Ni2Bi structure.

Cell lengths 7.190, 7.190, 2.886 Å; angles 90.00, 90.00, 90.00 degrees
Last column: magnetic moment on the atom in μB.
Fractional positions:
Fe 0.617 0.117 0.000  2.77
Fe 0.383 0.883 0.000  2.77
Fe 0.117 0.383 0.000  2.77
Fe 0.883 0.617 0.000  2.77
Ni 0.834 0.334 0.500  0.64
Ni 0.666 0.834 0.500  0.63
Ni 0.334 0.166 0.500  0.63
Ni 0.166 0.666 0.500  0.64
Bi 0.000 0.000 0.000  0.00
Bi 0.500 0.500 0.000  0.00

Output
density of states at the Fermi level = 5.34 states/eV per cell

DFT (GGA-PBE) results for a geometry-optimized PPb2W structure.

Cell lengths 5.150, 5.150, 5.150 Å; angles 125.03, 125.03, 81.50 degrees
Last column: magnetic moment on the atom in μB.
Fractional positions:
Pb 0.000 0.000 0.000  0.00
Pb 0.250 0.750 0.500  0.02
P 0.750 0.250 0.500  -0.02
W 0.500 0.500 0.000  1.59

Output
density of states at the Fermi level = 2.49 states/eV per cell

DFT (GGA-PBE) results for a geometry-optimized CdCuPdO2 structure.

Cell lengths 3.924, 5.006, 3.924 Å; angles 90.00, 90.00, 90.00 degrees
Fractional positions:
Pd 0.000 0.000 0.000
Cu 0.000 0.500 0.000
O 0.000 0.000 0.500
O 0.500 0.000 0.000
Cd 0.500 0.500 0.500

Output
density of states at the Fermi level = 3.56 states/eV per cell

DFT (GGA-PBE) results for a geometry-optimized KPbW structure.

Cell lengths 8.433, 8.433, 8.433 Å; angles 159.20, 159.20, 29.58 degrees
Fractional positions:
K 0.004 0.004 0.000
Pb 0.315 0.315 0.000
W 0.681 0.681 0.000

Output
energy relative to the lowest polymorph listed for this composition = 30 meV per atom
density of states at the Fermi level = 2.41 states/eV per cell

DFT (GGA-PBE) results for a geometry-optimized Rb2MgTl6Pb structure.

Cell lengths 7.842, 7.842, 14.878 Å; angles 74.72, 74.72, 60.00 degrees
Fractional positions:
Tl 0.797 0.797 0.178
Tl 0.203 0.203 0.822
Tl 0.049 0.646 0.659
Tl 0.646 0.646 0.659
Tl 0.646 0.049 0.659
Tl 0.203 0.771 0.822
Tl 0.229 0.797 0.178
Tl 0.354 0.354 0.341
Tl 0.951 0.354 0.341
Tl 0.771 0.203 0.822
Tl 0.797 0.229 0.178
Tl 0.354 0.951 0.341
Rb 0.313 0.313 0.062
Rb 0.860 0.860 0.419
Rb 0.687 0.687 0.938
Rb 0.140 0.140 0.581
Mg 0.424 0.424 0.729
Mg 0.576 0.576 0.271
Pb 0.000 0.000 0.000
Pb 0.500 0.500 0.500

Output
density of states at the Fermi level = 11.52 states/eV per cell

DFT (GGA-PBE) results for a geometry-optimized Nd2PaIr structure.

Cell lengths 3.410, 3.410, 11.015 Å; angles 81.10, 81.10, 60.00 degrees
Fractional positions:
Nd 0.102 0.102 0.694
Nd 0.898 0.898 0.306
Pa 0.000 0.000 0.000
Ir 0.500 0.500 0.500

Output
density of states at the Fermi level = 4.97 states/eV per cell

DFT (GGA-PBE) results for a geometry-optimized Li3Pu2CoSe6 structure.

Cell lengths 6.761, 6.761, 6.817 Å; angles 99.48, 99.48, 119.93 degrees
Last column: magnetic moment on the atom in μB.
Fractional positions:
Se 0.615 0.917 0.754  -0.11
Se 0.778 0.778 0.238  -0.12
Se 0.385 0.083 0.246  -0.11
Se 0.083 0.385 0.246  -0.11
Se 0.917 0.615 0.754  -0.11
Se 0.222 0.222 0.762  -0.12
Li 0.164 0.836 0.500  0.00
Li 0.500 0.500 0.500  -0.01
Li 0.836 0.164 0.500  0.00
Pu 0.668 0.332 0.000  4.94
Pu 0.332 0.668 0.000  4.94
Co 0.000 0.000 0.000  0.65

Output
density of states at the Fermi level = 17.38 states/eV per cell

DFT (GGA-PBE) results for a geometry-optimized Be2AlFe structure.

Cell lengths 2.836, 2.836, 5.047 Å; angles 90.00, 90.00, 90.02 degrees
Last column: magnetic moment on the atom in μB.
Fractional positions:
Al 0.500 0.500 0.750  0.00
Be 0.000 0.000 0.457  -0.01
Be 0.000 0.000 0.043  -0.01
Fe 0.500 0.500 0.250  0.20

Output
density of states at the Fermi level = 2.97 states/eV per cell

DFT (GGA-PBE) results for a geometry-optimized Cs2RbAgS structure.

Cell lengths 6.733, 6.733, 6.353 Å; angles 90.00, 90.00, 90.00 degrees
Fractional positions:
Cs 0.500 0.000 0.000
Cs 0.000 0.500 0.000
Ag 0.500 0.500 0.500
Rb 0.000 0.000 0.500
S 0.000 0.000 0.000

DFT (GGA-PBE) results for a geometry-optimized Ho2NbO6 structure.

Cell lengths 5.047, 5.047, 10.080 Å; angles 90.00, 90.00, 90.00 degrees
Last column: magnetic moment on the atom in μB.
Fractional positions:
O 0.215 0.785 0.500  0.21
O 0.812 0.188 0.150  0.12
O 0.812 0.188 0.850  0.12
O 0.715 0.715 0.000  0.21
O 0.312 0.312 0.350  0.12
O 0.785 0.215 0.500  0.21
O 0.688 0.688 0.650  0.12
O 0.188 0.812 0.850  0.12
O 0.312 0.312 0.650  0.12
O 0.188 0.812 0.150  0.12
O 0.688 0.688 0.350  0.12
O 0.285 0.285 0.000  0.21
Nb 0.000 0.000 0.000  -0.07
Nb 0.500 0.500 0.500  -0.07
Ho 0.500 0.500 0.169  -0.01
Ho 0.000 0.000 0.331  -0.01
Ho 0.500 0.500 0.831  -0.01
Ho 0.000 0.000 0.669  -0.01

Output
density of states at the Fermi level = 10.16 states/eV per cell

Number 1: total energy -3.790 eV/atom. Number 2: total energy -3.176 eV/atom. Number 3: total energy -6.117 eV/atom. Number 4: total energy -5.349 eV/atom. Number 5: total energy -3.822 eV/atom. Number 6: total energy -4.863 eV/atom. Number 7: total energy -2.138 eV/atom. Number 8: total energy -6.710 eV/atom. Number 9: total energy -6.270 eV/atom. Number 10: total energy -5.015 eV/atom. Number 11: total energy -2.426 eV/atom. Number 12: total energy -8.351 eV/atom.